w) VASP calculation (PBE-GGA) on Cs2CoNi2 after structural relaxation.

```
data_Cs2CoNi2
_chemical_formula_sum 'Cs4 Co2 Ni4'
_symmetry_space_group_name_H-M 'I 4/m m m'
_symmetry_Int_Tables_number 139
_symmetry_space_group_name_Hall '-I 4 2'
_cell_length_a 3.422
_cell_length_b 3.422
_cell_length_c 22.960
_cell_angle_alpha 90.00
_cell_angle_beta 90.00
_cell_angle_gamma 90.00
loop_
_atom_site_label
_atom_site_type_symbol
_atom_site_fract_x
_atom_site_fract_y
_atom_site_fract_z
_atom_site_occupancy
Cs1 Cs 0.000 0.000 0.118 1
Co1 Co 0.000 0.000 0.500 1
Ni1 Ni 0.000 0.500 0.250 1
```

=====

x) VASP calculation (PBE-GGA) on Cs2CoNi2 after structural relaxation.

```
data_Cs2CoNi2
_chemical_formula_sum 'Cs4 Co2 Ni4'
_symmetry_space_group_name_H-M 'P 4/m b m'
_symmetry_Int_Tables_number 127
_symmetry_space_group_name_Hall '-P 4 2ab'
_cell_length_a 9.395
_cell_length_b 9.395
_cell_length_c 3.217
_cell_angle_alpha 90.00
_cell_angle_beta 90.00
_cell_angle_gamma 90.00
loop_
_atom_site_label
_atom_site_type_symbol
_atom_site_fract_x
_atom_site_fract_y
_atom_site_fract_z
_atom_site_occupancy
Cs1 Cs 0.137 0.363 0.000 1
Co1 Co 0.000 0.000 0.000 1
Ni1 Ni 0.173 0.673 0.500 1
```

=====

The least stable of them is x).